Compound: Tb2YTm5Th
Source: the Alexandria database
Functional: PBE-GGA
Structure: relaxed

- calculated density (g/cm³) = 8.728
- total magnetization (μB per cell) = 0.000

Lattice parameters (Å, degrees): 8.7190 8.7190 14.8505 90.00 90.00 90.00
Closest atoms and distances in Å follow each position.
Space group I4/mcm (No. 140)
Asymmetric unit:
Tb: 0.1139 0.3861 0.0000 x8  1 Tb 2.81, 2 Tm 2.96
Y: 0.0000 0.5000 0.2500 x4  4 Tm 3.10
Tm: 0.0000 0.0000 0.0000 x4  4 Tb 3.51, 2 Th 3.71, 8 Tm 3.72
Tm: 0.2104 0.2896 0.3640 x16  1 Tb 2.96, 1 Y 3.10
Th: 0.0000 0.0000 0.2500 x4  10 Tm 3.55-3.71

Compound: Tb2Y6Tm3Th
Source: the Alexandria database
Functional: PBE-GGA
Structure: relaxed

- calculated density (g/cm³) = 6.937
- total magnetization (μB per cell) = 0.000

Lattice parameters (Å, degrees): 6.1607 10.6606 11.7714 90.00 100.04 90.00
Closest atoms and distances in Å follow each position.
Space group C2/m (No. 12)
Asymmetric unit:
Tb: 0.0000 0.1666 0.0000 x4  3 Tb 3.55-3.56, 3 Th 3.55-3.56, 6 Y 3.56-3.57
Y: 0.2457 0.5000 0.7490 x4  6 Y 3.52-3.57, 3 Tm 3.54-3.56, 1 Th 3.55, 2 Tb 3.57
Y: 0.2502 0.1652 0.7490 x8  6 Y 3.52-3.57, 3 Tm 3.53-3.55, 1 Th 3.55, 2 Tb 3.56-3.57
Tm: 0.0000 0.0000 0.5000 x2  6 Y 3.53-3.56, 6 Tm 3.55-3.56
Tm: 0.0000 0.3327 0.5000 x4  6 Y 3.54-3.55, 6 Tm 3.55-3.57
Th: 0.0000 0.5000 0.0000 x2  6 Y 3.55, 6 Tb 3.55-3.56

Compound: Tb2YTmTh
Source: the Alexandria database
Functional: PBE-GGA
Structure: relaxed

- calculated density (g/cm³) = 7.694
- total magnetization (μB per cell) = 0.001

Lattice parameters (Å, degrees): 8.5613 11.8317 6.8836 90.00 90.00 90.00
Closest atoms and distances in Å follow each position.
Space group Cmcm (No. 63)
Asymmetric unit:
Tb: 0.1827 0.0000 0.0000 x8  3 Tb 3.13-3.44, 2 Th 3.22
Y: 0.0000 0.2318 0.2500 x4  1 Th 3.24, 2 Tm 3.44, 4 Tb 3.60
Tm: 0.0000 0.2222 0.7500 x4  1 Th 3.22, 2 Y 3.44, 4 Tb 3.51
Th: 0.0000 0.4944 0.7500 x4  4 Tb 3.22, 1 Tm 3.22, 1 Y 3.24, 2 Th 3.44

Compound: Tb2YTm2Th2
Source: the Alexandria database
Functional: PBE-GGA
Structure: relaxed

- calculated density (g/cm³) = 8.945
- total magnetization (μB per cell) = 0.000

Lattice parameters (Å, degrees): 11.6208 3.4658 11.8671 90.00 110.13 90.00
Closest atoms and distances in Å follow each position.
Space group C2/m (No. 12)
Asymmetric unit:
Tb: 0.2173 0.0000 0.3567 x4  4 Tb 3.47-3.66, 3 Th 3.48-3.52, 3 Y 3.50-3.58, 2 Tm 3.53
Y: 0.0000 0.0000 0.5000 x2  2 Y 3.47, 6 Tb 3.50-3.58, 4 Th 3.58
Tm: 0.1654 0.5000 0.0848 x4  4 Th 3.42-3.52, 5 Tm 3.47-3.69, 2 Tb 3.53
Th: 0.0595 0.5000 0.7778 x4  4 Tm 3.42-3.52, 2 Th 3.47, 3 Tb 3.48-3.52, 2 Y 3.58

Compound: Tb6YTm3Th2
Source: the Alexandria database
Functional: PBE-GGA
Structure: relaxed

- calculated density (g/cm³) = 8.809
- total magnetization (μB per cell) = 0.000

Lattice parameters (Å, degrees): 6.1521 10.6455 11.7700 90.00 100.04 90.00
Closest atoms and distances in Å follow each position.
Space group C2/m (No. 12)
Asymmetric unit:
Tb: 0.2467 0.0000 0.2503 x4  6 Tb 3.53-3.59, 3 Tm 3.54-3.55, 2 Th 3.54, 1 Y 3.56
Tb: 0.2476 0.1684 0.7501 x8  6 Tb 3.53-3.59, 3 Tm 3.54-3.56, 2 Th 3.54, 1 Y 3.56
Y: 0.0000 0.5000 0.0000 x2  6 Th 3.55, 6 Tb 3.56
Tm: 0.0000 0.0000 0.5000 x2  6 Tb 3.54-3.55, 6 Tm 3.55
Tm: 0.0000 0.3335 0.5000 x4  6 Tb 3.54-3.56, 6 Tm 3.54-3.55
Th: 0.0000 0.1666 0.0000 x4  6 Tb 3.54, 3 Th 3.55, 3 Y 3.55

Compound: Tb3Tm6Th2Zr
Source: the Alexandria database
Functional: PBE-GGA
Structure: relaxed

- calculated density (g/cm³) = 9.411
- total magnetization (μB per cell) = 0.000

Lattice parameters (Å, degrees): 6.0455 10.4720 11.5814 90.00 100.06 90.00
Closest atoms and distances in Å follow each position.
Space group C2/m (No. 12)
Asymmetric unit:
Tb: 0.0000 0.0000 0.0000 x2  6 Tb 3.49-3.50, 6 Tm 3.54-3.56
Tb: 0.0000 0.3340 0.0000 x4  6 Tb 3.48-3.50, 6 Tm 3.54-3.56
Tm: 0.2462 0.3351 0.7441 x8  1 Zr 3.42, 2 Th 3.44, 6 Tm 3.45-3.51, 3 Tb 3.54-3.56
Tm: 0.2490 0.5000 0.2558 x4  1 Zr 3.43, 2 Th 3.44, 6 Tm 3.46-3.51, 3 Tb 3.54-3.56
Th: 0.0000 0.1666 0.5000 x4  6 Tm 3.44, 3 Th 3.49, 3 Zr 3.49
Zr: 0.0000 0.5000 0.5000 x2  6 Tm 3.42-3.43, 6 Th 3.49

Compound: TbThU
Source: the Alexandria database
Functional: PBE-GGA
Structure: relaxed

- calculated density (g/cm³) = 11.895
- total magnetization (μB per cell) = 0.003

Lattice parameters (Å, degrees): 17.0899 3.6100 5.7669 90.00 99.17 90.00
Closest atoms and distances in Å follow each position.
Space group C2/m (No. 12)
Asymmetric unit:
Tb: 0.0646 0.0000 0.2790 x4  3 U 3.43-3.70, 6 Th 3.52-3.66, 4 Tb 3.60-3.63
Th: 0.1240 0.5000 0.8014 x4  4 U 3.20-3.49, 4 Tb 3.52-3.57
U: 0.2378 0.5000 0.3487 x4  2 U 2.50

Compound: TbThV4
Source: the Alexandria database
Functional: PBE-GGA
Structure: relaxed

- calculated density (g/cm³) = 8.908
- total magnetization (μB per cell) = 0.000

Lattice parameters (Å, degrees): 7.6258 7.6258 7.6258 90.00 90.00 90.00
Closest atoms and distances in Å follow each position.
Space group F-43m (No. 216)
Asymmetric unit:
Tb: 0.0000 0.0000 0.0000 x4  12 V 3.16, 4 Th 3.30
Th: 0.2500 0.2500 0.2500 x4  12 V 3.16, 4 Tb 3.30
V: 0.1254 0.1254 0.6254 x16  6 V 2.69-2.71

Compound: TbThW
Source: the Alexandria database
Functional: PBE-GGA
Structure: relaxed

- calculated density (g/cm³) = 12.294
- total magnetization (μB per cell) = 0.000

Lattice parameters (Å, degrees): 3.9382 3.9382 10.0116 90.00 90.00 90.00
Closest atoms and distances in Å follow each position.
Space group P4/nmm (No. 129, origin choice 2)
Asymmetric unit:
Tb: 0.2500 0.2500 0.1110 x2  4 Th 3.32, 1 W 3.39, 4 Tb 3.56
Th: 0.2500 0.2500 0.7093 x2  1 W 2.60
W: 0.2500 0.2500 0.4494 x2  1 Th 2.60

Compound: TbY4Th
Source: the Alexandria database
Functional: PBE-GGA
Structure: relaxed

- calculated density (g/cm³) = 6.385
- total magnetization (μB per cell) = 0.005
- energy relative to the lowest polymorph listed for this composition (meV/atom) = 0

Lattice parameters (Å, degrees): 11.2773 5.0696 7.1463 90.00 108.10 90.00
Closest atoms and distances in Å follow each position.
Space group C2/m (No. 12)
Asymmetric unit:
Tb: 0.0000 0.0000 0.0000 x2  10 Y 3.57-3.61, 2 Th 3.57
Y: 0.1635 0.5000 0.8277 x4  7 Y 3.52-3.65, 2 Th 3.55, 3 Tb 3.57-3.61
Y: 0.1659 0.5000 0.3369 x4  7 Y 3.52-3.63, 3 Th 3.56-3.58, 2 Tb 3.59
Th: 0.0000 0.0000 0.5000 x2  10 Y 3.55-3.58, 2 Tb 3.57

Compound: TbY4Th2
Source: the Alexandria database
Functional: PBE-GGA
Structure: relaxed

- calculated density (g/cm³) = 6.254
- total magnetization (μB per cell) = 0.606
- energy relative to the lowest polymorph listed for this composition (meV/atom) = 694

Lattice parameters (Å, degrees): 5.5613 5.5613 16.8028 90.00 90.00 90.00
Closest atoms and distances in Å follow each position.
Space group I4/mmm (No. 139)
Asymmetric unit:
Tb: 0.0000 0.0000 0.0000 x2  6 Y 2.78-3.05
Y: 0.0000 0.0000 0.1813 x4  1 Tb 3.05
Y: 0.0000 0.5000 0.0000 x4  2 Tb 2.78
Th: 0.0000 0.0000 0.3862 x4  5 Y 3.37-3.44

Compound: Tb2YTh
Source: the Alexandria database
Functional: PBE-GGA
Structure: relaxed

- calculated density (g/cm³) = 8.168
- total magnetization (μB per cell) = 0.020
- energy relative to the lowest polymorph listed for this composition (meV/atom) = 164

Lattice parameters (Å, degrees): 8.0388 8.0388 8.0388 90.00 90.00 90.00
Closest atoms and distances in Å follow each position.
Space group Fm-3m (No. 225)
Asymmetric unit:
Tb: 0.2500 0.2500 0.2500 x8  4 Th 3.48, 4 Y 3.48
Y: 0.0000 0.0000 0.0000 x4  8 Tb 3.48
Th: 0.0000 0.0000 0.5000 x4  8 Tb 3.48

no.,calculated formation energy (eV per atom),DFT total energy (Ry per atom),calculated volume (Å³/cell)
1,0.31,-0.3486,1128.9
2,0.03,-0.4196,761.3
3,0.47,-0.3715,697.3
4,0.11,-0.4064,448.7
5,0.03,-0.3805,759.0
6,0.04,-0.3897,721.9
7,0.22,-0.5553,351.2
8,0.22,-0.5780,443.5
9,0.47,-0.5783,155.3
10,0.04,-0.4616,388.3
11,0.80,-0.4168,519.7
12,0.17,-0.4128,519.5